# 1
A plane-wave DFT calculation with GGA-PBE was carried out for an optimized crystal structure of Be2ZnPdAu4.

Magnetization: 0.0 μB per formula unit
Energy relative to the elements: -0.013 eV/atom

Cell lengths 3.874, 3.874, 8.776 Å; angles 90.00, 90.00, 90.00 degrees
Space group P4/mmm (No. 123)
One atom of each set of equivalent atoms:
1 Be 0.000 0.000 0.120 x2
2 Zn 0.500 0.500 0.500 x1
3 Pd 0.500 0.500 0.000 x1
4 Au 0.000 0.500 0.278 x4

# 2
A plane-wave DFT calculation with GGA-PBE was carried out for an optimized crystal structure of TaAs5.

Magnetization: 0.0 μB per formula unit
Energy relative to the elements: 0.194 eV/atom
Excess energy over the best structure of this formula in the dataset: 206.9 meV/atom

Cell lengths 5.0566, 5.0566, 4.9276 Å; angles 90.00, 90.00, 120.00 degrees
Space group P-62m (No. 189)
One atom of each set of equivalent atoms:
1 Ta 0.0000 0.0000 0.0000 x1
2 As 0.0000 0.6958 0.5000 x3
3 As 0.3333 0.6667 0.0000 x2

# 3
A plane-wave DFT calculation with GGA-PBE was carried out for an optimized crystal structure of LaMg2Si.

Magnetization: 0.0 μB per formula unit
Formation energy without anion corrections: -0.231 eV per atom

Cell lengths 4.392, 4.078, 6.193 Å; angles 90.00, 110.69, 90.00 degrees
Space group Pm (No. 6)
One atom of each set of equivalent atoms:
1 La 0.000 0.000 0.000 x1
2 Mg 0.296 0.500 0.592 x1
3 Mg 0.712 0.000 0.424 x1
4 Si 0.554 0.500 0.112 x1

# 4
A plane-wave DFT calculation with GGA-PBE was carried out for an optimized crystal structure of TiSiPd2.

Magnetization: 0.0 μB per formula unit
Formation energy without anion corrections: -0.535 eV per atom

Cell lengths 3.874, 3.874, 3.956 Å; angles 90.00, 90.00, 90.00 degrees
Space group P4/mmm (No. 123)
One atom of each set of equivalent atoms:
1 Ti 0.000 0.000 0.000 x1
2 Si 0.500 0.500 0.000 x1
3 Pd 0.000 0.500 0.500 x2